(a)
! ScZnI2 PBE optimized geometry; values from VASP
&SYSTEM
  ibrav = 0, nat = 8, ntyp = 3
/
ATOMIC_SPECIES
Sc 44.96 Sc.upf
Zn 65.41 Zn.upf
I 126.90 I.upf
CELL_PARAMETERS angstrom
-5.250 5.250 2.858
5.250 -5.250 2.858
5.250 5.250 -2.858
ATOMIC_POSITIONS crystal
Sc 0.000 0.000 0.000
Sc 0.750 0.250 0.500
Zn 0.250 0.750 0.500
Zn 0.500 0.500 0.000
I 0.375 0.029 0.154
I 0.779 0.625 0.654
I 0.875 0.221 0.846
I 0.971 0.125 0.346
! * space-group type: I-42d
! * N(E_F): 0.57 states/eV per atom

(b)
! ScZnI2 PBE optimized geometry; values from VASP
&SYSTEM
  ibrav = 0, nat = 4, ntyp = 3
/
ATOMIC_SPECIES
Sc 44.96 Sc.upf
Zn 65.41 Zn.upf
I 126.90 I.upf
CELL_PARAMETERS angstrom
0.000 3.790 3.790
3.790 0.000 3.790
3.790 3.790 0.000
ATOMIC_POSITIONS crystal
Sc 0.000 0.000 0.000
Zn 0.500 0.500 0.500
I 0.250 0.250 0.250
I 0.750 0.750 0.750
! * space-group type: Fm-3m
! * N(E_F): 1.28 states/eV per atom

Relative calculated energies, zero for the most stable structure, unit eV/atom: (a) 0.000; (b) 0.230.

(a)
! ScZnI3 PBE optimized geometry; values from VASP
&SYSTEM
  ibrav = 0, nat = 5, ntyp = 3
/
ATOMIC_SPECIES
Sc 44.96 Sc.upf
Zn 65.41 Zn.upf
I 126.90 I.upf
CELL_PARAMETERS angstrom
5.540 0.000 0.000
0.000 5.540 0.000
0.000 0.000 5.540
ATOMIC_POSITIONS crystal
Sc 0.000 0.000 0.000
Zn 0.500 0.500 0.500
I 0.000 0.500 0.500
I 0.500 0.000 0.500
I 0.500 0.500 0.000
! * space-group type: Pm-3m
! * N(E_F): 1.47 states/eV per atom

(b)
! ScZnI3 PBE optimized geometry; values from VASP
&SYSTEM
  ibrav = 0, nat = 5, ntyp = 3
/
ATOMIC_SPECIES
Sc 44.96 Sc.upf
Zn 65.41 Zn.upf
I 126.90 I.upf
CELL_PARAMETERS angstrom
5.771 0.000 0.000
0.000 5.771 0.000
0.000 0.000 5.771
ATOMIC_POSITIONS crystal
Sc 0.000 0.000 0.000
Zn 0.500 0.500 0.500
I 0.000 0.000 0.500
I 0.000 0.500 0.000
I 0.500 0.000 0.000
! * space-group type: Pm-3m
! * N(E_F): 0.00 states/eV per atom

Relative calculated energies, zero for the most stable structure, unit eV/atom: (a) 0.602; (b) 0.000.

(a)
! ZrSc3I PBE optimized geometry; values from VASP
&SYSTEM
  ibrav = 0, nat = 5, ntyp = 3
/
ATOMIC_SPECIES
Zr 91.22 Zr.upf
Sc 44.96 Sc.upf
I 126.90 I.upf
CELL_PARAMETERS angstrom
5.229 0.000 0.000
0.000 5.229 0.000
0.000 0.000 5.229
ATOMIC_POSITIONS crystal
Zr 0.000 0.000 0.000
Sc 0.000 0.500 0.500
Sc 0.500 0.000 0.500
Sc 0.500 0.500 0.000
I 0.500 0.500 0.500
! * space-group type: Pm-3m
! * N(E_F): 0.53 states/eV per atom

(b)
! ZrSc3I PBE optimized geometry; values from VASP
&SYSTEM
  ibrav = 0, nat = 5, ntyp = 3
/
ATOMIC_SPECIES
Zr 91.22 Zr.upf
Sc 44.96 Sc.upf
I 126.90 I.upf
CELL_PARAMETERS angstrom
5.351 0.000 0.000
0.000 5.351 0.000
0.000 0.000 5.351
ATOMIC_POSITIONS crystal
Zr 0.000 0.000 0.000
Sc 0.000 0.000 0.500
Sc 0.000 0.500 0.000
Sc 0.500 0.000 0.000
I 0.500 0.500 0.500
! * space-group type: Pm-3m
! * N(E_F): 2.30 states/eV per atom

Relative calculated energies, zero for the most stable structure, unit eV/atom: (a) 0.000; (b) 0.211.

(a)
! ZrScI2 PBE optimized geometry; values from VASP
&SYSTEM
  ibrav = 0, nat = 8, ntyp = 3
/
ATOMIC_SPECIES
Zr 91.22 Zr.upf
Sc 44.96 Sc.upf
I 126.90 I.upf
CELL_PARAMETERS angstrom
-3.952 3.952 3.630
3.952 -3.952 3.630
3.952 3.952 -3.630
ATOMIC_POSITIONS crystal
Zr 0.000 0.000 0.000
Zr 0.750 0.250 0.500
Sc 0.250 0.750 0.500
Sc 0.500 0.500 0.000
I 0.126 0.125 0.501
I 0.375 0.874 0.999
I 0.624 0.625 0.499
I 0.875 0.376 0.001
! * space-group type: I-42d
! * N(E_F): 1.43 states/eV per atom

(b)
! ZrScI2 PBE optimized geometry; values from VASP
&SYSTEM
  ibrav = 0, nat = 4, ntyp = 3
/
ATOMIC_SPECIES
Zr 91.22 Zr.upf
Sc 44.96 Sc.upf
I 126.90 I.upf
CELL_PARAMETERS angstrom
0.000 3.614 3.614
3.614 0.000 3.614
3.614 3.614 0.000
ATOMIC_POSITIONS crystal
Zr 0.000 0.000 0.000
Sc 0.500 0.500 0.500
I 0.250 0.250 0.250
I 0.750 0.750 0.750
! * space-group type: Fm-3m
! * N(E_F): 1.19 states/eV per atom

Relative calculated energies, zero for the most stable structure, unit eV/atom: (a) 0.303; (b) 0.000.

(a)
! ZrSc2I PBE optimized geometry; values from VASP
&SYSTEM
  ibrav = 0, nat = 8, ntyp = 3
/
ATOMIC_SPECIES
Zr 91.22 Zr.upf
Sc 44.96 Sc.upf
I 126.90 I.upf
CELL_PARAMETERS angstrom
-4.156 4.156 2.996
4.156 -4.156 2.996
4.156 4.156 -2.996
ATOMIC_POSITIONS crystal
Zr 0.000 0.000 0.000
Zr 0.750 0.250 0.500
Sc 0.163 0.625 0.038
Sc 0.375 0.413 0.538
Sc 0.587 0.125 0.962
Sc 0.875 0.837 0.462
I 0.250 0.750 0.500
I 0.500 0.500 0.000
! * space-group type: I-42d
! * N(E_F): 1.44 states/eV per atom

(b)
! ZrSc2I PBE optimized geometry; values from VASP
&SYSTEM
  ibrav = 0, nat = 4, ntyp = 3
/
ATOMIC_SPECIES
Zr 91.22 Zr.upf
Sc 44.96 Sc.upf
I 126.90 I.upf
CELL_PARAMETERS angstrom
1.770 1.022 10.435
-1.770 1.022 10.435
0.000 -2.044 10.435
ATOMIC_POSITIONS crystal
Zr 0.000 0.000 0.000
Sc 0.410 0.410 0.410
Sc 0.590 0.590 0.590
I 0.500 0.500 0.500
! * space-group type: R-3m
! * N(E_F): 1.86 states/eV per atom

(c)
! ZrSc2I PBE optimized geometry; values from VASP
&SYSTEM
  ibrav = 0, nat = 4, ntyp = 3
/
ATOMIC_SPECIES
Zr 91.22 Zr.upf
Sc 44.96 Sc.upf
I 126.90 I.upf
CELL_PARAMETERS angstrom
0.000 3.611 3.611
3.611 0.000 3.611
3.611 3.611 0.000
ATOMIC_POSITIONS crystal
Zr 0.000 0.000 0.000
Sc 0.250 0.250 0.250
Sc 0.750 0.750 0.750
I 0.500 0.500 0.500
! * space-group type: Fm-3m
! * N(E_F): 1.54 states/eV per atom

Relative calculated energies, zero for the most stable structure, unit eV/atom: (a) 0.233; (b) 0.000; (c) 0.240.

(a)
! SiSeI3 PBE optimized geometry; values from VASP
&SYSTEM
  ibrav = 0, nat = 5, ntyp = 3
/
ATOMIC_SPECIES
Si 28.09 Si.upf
Se 78.96 Se.upf
I 126.90 I.upf
CELL_PARAMETERS angstrom
5.727 0.000 0.000
0.000 5.727 0.000
0.000 0.000 5.727
ATOMIC_POSITIONS crystal
Si 0.000 0.000 0.000
Se 0.500 0.500 0.500
I 0.000 0.500 0.500
I 0.500 0.000 0.500
I 0.500 0.500 0.000
! * space-group type: Pm-3m
! * N(E_F): 0.65 states/eV per atom

(b)
! SiSeI3 PBE optimized geometry; values from VASP
&SYSTEM
  ibrav = 0, nat = 5, ntyp = 3
/
ATOMIC_SPECIES
Si 28.09 Si.upf
Se 78.96 Se.upf
I 126.90 I.upf
CELL_PARAMETERS angstrom
5.607 0.000 0.000
0.000 5.607 0.000
0.000 0.000 5.607
ATOMIC_POSITIONS crystal
Si 0.000 0.000 0.000
Se 0.500 0.500 0.500
I 0.000 0.000 0.500
I 0.000 0.500 0.000
I 0.500 0.000 0.000
! * space-group type: Pm-3m
! * N(E_F): 1.08 states/eV per atom

Relative calculated energies, zero for the most stable structure, unit eV/atom: (a) 0.242; (b) 0.000.